This record from Alexandria via LeMat-Bulk describes a geometry-optimized Mn6Fe2HN structure. The functional is PBE.

CIF file:
```
data_Mn6Fe2HN
_space_group_name_H-M_alt 'P 1'
_space_group_IT_number 1
_space_group_name_Hall 'P 1'
_cell_length_a 5.184
_cell_length_b 5.184
_cell_length_c 5.173
_cell_angle_alpha 120.04
_cell_angle_beta 120.04
_cell_angle_gamma 90.05
loop_
_atom_site_label
_atom_site_fract_x
_atom_site_fract_y
_atom_site_fract_z
_atom_site_occupancy
Mn1 0.743 0.258 0.000 1
Mn2 0.257 0.743 0.000 1
Mn3 0.743 0.743 0.000 1
Mn4 0.741 0.741 0.481 1
Mn5 0.259 0.260 0.519 1
Mn6 0.257 0.258 0.000 1
H1 0.500 0.500 0.000 1
N1 0.000 0.000 0.000 1
Fe1 0.250 0.750 0.500 1
Fe2 0.750 0.250 0.500 1
```

Values from the calculation:
**DFT total energy**: -8.4355 eV/atom


This record from Alexandria via LeMat-Bulk describes a geometry-optimized MnNb2FeH structure. The functional is PBE.

CIF file:
```
data_MnNb2FeH
_space_group_name_H-M_alt 'P 1'
_space_group_IT_number 1
_space_group_name_Hall 'P 1'
_cell_length_a 4.272
_cell_length_b 4.272
_cell_length_c 3.330
_cell_angle_alpha 90.00
_cell_angle_beta 90.00
_cell_angle_gamma 90.00
loop_
_atom_site_label
_atom_site_fract_x
_atom_site_fract_y
_atom_site_fract_z
_atom_site_occupancy
H1 0.000 0.000 0.000 1
Mn1 0.000 0.000 0.500 1
Nb1 0.500 0.000 0.000 1
Nb2 0.000 0.500 0.000 1
Fe1 0.500 0.500 0.500 1
```

Values from the calculation:
**Energy relative to the lowest polymorph listed for this composition**: 0.08 eV per formula unit


This record from Alexandria via LeMat-Bulk describes a geometry-optimized Mn2NbFeH structure. The functional is PBE.

CIF file:
```
data_Mn2NbFeH
_space_group_name_H-M_alt 'P 1'
_space_group_IT_number 1
_space_group_name_Hall 'P 1'
_cell_length_a 3.638
_cell_length_b 3.638
_cell_length_c 4.137
_cell_angle_alpha 90.00
_cell_angle_beta 90.00
_cell_angle_gamma 90.00
loop_
_atom_site_label
_atom_site_fract_x
_atom_site_fract_y
_atom_site_fract_z
_atom_site_occupancy
H1 0.000 0.000 0.000 1
Fe1 0.500 0.500 0.500 1
Mn1 0.000 0.500 0.000 1
Mn2 0.500 0.000 0.000 1
Nb1 0.000 0.000 0.500 1
```

Values from the calculation:
**Energy relative to the lowest polymorph listed for this composition**: 0.16 eV per formula unit


This record from Alexandria via LeMat-Bulk describes a geometry-optimized Mn2NbFeH structure. The functional is PBE.

CIF file:
```
data_Mn2NbFeH
_space_group_name_H-M_alt 'P 1'
_space_group_IT_number 1
_space_group_name_Hall 'P 1'
_cell_length_a 3.956
_cell_length_b 3.956
_cell_length_c 3.455
_cell_angle_alpha 90.00
_cell_angle_beta 90.00
_cell_angle_gamma 90.00
loop_
_atom_site_label
_atom_site_fract_x
_atom_site_fract_y
_atom_site_fract_z
_atom_site_occupancy
Mn1 0.500 0.000 0.000 1
Mn2 0.000 0.500 0.000 1
Nb1 0.500 0.500 0.500 1
Fe1 0.000 0.000 0.500 1
H1 0.000 0.000 0.000 1
```

Values from the calculation:
**Energy relative to the lowest polymorph listed for this composition**: 0.00 eV per formula unit


This record from Alexandria via LeMat-Bulk describes a geometry-optimized MnNb2FeH structure. The functional is PBE.

CIF file:
```
data_MnNb2FeH
_space_group_name_H-M_alt 'P 1'
_space_group_IT_number 1
_space_group_name_Hall 'P 1'
_cell_length_a 4.277
_cell_length_b 4.277
_cell_length_c 3.296
_cell_angle_alpha 90.00
_cell_angle_beta 90.00
_cell_angle_gamma 90.00
loop_
_atom_site_label
_atom_site_fract_x
_atom_site_fract_y
_atom_site_fract_z
_atom_site_occupancy
Nb1 0.000 0.500 0.000 1
Nb2 0.500 0.000 0.000 1
H1 0.000 0.000 0.000 1
Fe1 0.000 0.000 0.500 1
Mn1 0.500 0.500 0.500 1
```

Values from the calculation:
**Energy relative to the lowest polymorph listed for this composition**: 0.00 eV per formula unit


This record from Alexandria via LeMat-Bulk describes a geometry-optimized MnFeNiH3 structure. The functional is PBE.

CIF file:
```
data_MnFeNiH3
_space_group_name_H-M_alt 'P 1'
_space_group_IT_number 1
_space_group_name_Hall 'P 1'
_cell_length_a 2.588
_cell_length_b 5.178
_cell_length_c 6.113
_cell_angle_alpha 79.27
_cell_angle_beta 90.00
_cell_angle_gamma 90.00
loop_
_atom_site_label
_atom_site_fract_x
_atom_site_fract_y
_atom_site_fract_z
_atom_site_occupancy
Ni1 0.750 0.750 0.476 1
Ni2 0.250 0.250 0.524 1
Fe1 0.750 0.408 0.845 1
Fe2 0.250 0.592 0.155 1
Mn1 0.250 0.089 0.143 1
Mn2 0.750 0.911 0.857 1
H1 0.250 0.641 0.866 1
H2 0.750 0.107 0.381 1
H3 0.250 0.893 0.619 1
H4 0.750 0.359 0.134 1
H5 0.250 0.170 0.828 1
H6 0.750 0.830 0.172 1
```

Values from the calculation:
**DFT total energy**: -5.4775 eV/atom


This record from Alexandria via LeMat-Bulk describes a geometry-optimized MnFeNi2H structure. The functional is PBE.

CIF file:
```
data_MnFeNi2H
_space_group_name_H-M_alt 'P 1'
_space_group_IT_number 1
_space_group_name_Hall 'P 1'
_cell_length_a 3.582
_cell_length_b 3.582
_cell_length_c 3.756
_cell_angle_alpha 90.00
_cell_angle_beta 90.00
_cell_angle_gamma 90.00
loop_
_atom_site_label
_atom_site_fract_x
_atom_site_fract_y
_atom_site_fract_z
_atom_site_occupancy
H1 0.000 0.000 0.000 1
Mn1 0.500 0.500 0.500 1
Fe1 0.000 0.000 0.500 1
Ni1 0.500 0.000 0.000 1
Ni2 0.000 0.500 0.000 1
```

Values from the calculation:
**Energy relative to the lowest polymorph listed for this composition**: 0.09 eV per formula unit


This record from Alexandria via LeMat-Bulk describes a geometry-optimized Mn2FeNiH structure. The functional is PBE.

CIF file:
```
data_Mn2FeNiH
_space_group_name_H-M_alt 'P 1'
_space_group_IT_number 1
_space_group_name_Hall 'P 1'
_cell_length_a 3.639
_cell_length_b 3.639
_cell_length_c 3.591
_cell_angle_alpha 90.00
_cell_angle_beta 90.00
_cell_angle_gamma 90.00
loop_
_atom_site_label
_atom_site_fract_x
_atom_site_fract_y
_atom_site_fract_z
_atom_site_occupancy
Mn1 0.500 0.000 0.000 1
Mn2 0.000 0.500 0.000 1
Ni1 0.000 0.000 0.500 1
H1 0.000 0.000 0.000 1
Fe1 0.500 0.500 0.500 1
```

Values from the calculation:
**Energy relative to the lowest polymorph listed for this composition**: 0.00 eV per formula unit


This record from Alexandria via LeMat-Bulk describes a geometry-optimized Mn2FeNiH structure. The functional is PBE.

CIF file:
```
data_Mn2FeNiH
_space_group_name_H-M_alt 'P 1'
_space_group_IT_number 1
_space_group_name_Hall 'P 1'
_cell_length_a 3.591
_cell_length_b 3.591
_cell_length_c 3.555
_cell_angle_alpha 90.00
_cell_angle_beta 90.00
_cell_angle_gamma 90.00
loop_
_atom_site_label
_atom_site_fract_x
_atom_site_fract_y
_atom_site_fract_z
_atom_site_occupancy
Fe1 0.000 0.000 0.500 1
Mn1 0.000 0.500 0.000 1
Mn2 0.500 0.000 0.000 1
Ni1 0.500 0.500 0.500 1
H1 0.000 0.000 0.000 1
```

Values from the calculation:
**Energy relative to the lowest polymorph listed for this composition**: 0.11 eV per formula unit


This record from Alexandria via LeMat-Bulk describes a geometry-optimized MnFeNi2H structure. The functional is PBE.

CIF file:
```
data_MnFeNi2H
_space_group_name_H-M_alt 'P 1'
_space_group_IT_number 1
_space_group_name_Hall 'P 1'
_cell_length_a 3.597
_cell_length_b 3.597
_cell_length_c 3.757
_cell_angle_alpha 90.00
_cell_angle_beta 90.00
_cell_angle_gamma 90.00
loop_
_atom_site_label
_atom_site_fract_x
_atom_site_fract_y
_atom_site_fract_z
_atom_site_occupancy
Fe1 0.500 0.500 0.500 1
Mn1 0.000 0.000 0.500 1
Ni1 0.000 0.500 0.000 1
Ni2 0.500 0.000 0.000 1
H1 0.000 0.000 0.000 1
```

Values from the calculation:
**Energy relative to the lowest polymorph listed for this composition**: 0.00 eV per formula unit


This record from Alexandria via LeMat-Bulk describes a geometry-optimized MnFe2HOs structure. The functional is PBE.

CIF file:
```
data_MnFe2HOs
_space_group_name_H-M_alt 'P 1'
_space_group_IT_number 1
_space_group_name_Hall 'P 1'
_cell_length_a 3.605
_cell_length_b 3.605
_cell_length_c 3.654
_cell_angle_alpha 90.00
_cell_angle_beta 90.00
_cell_angle_gamma 90.00
loop_
_atom_site_label
_atom_site_fract_x
_atom_site_fract_y
_atom_site_fract_z
_atom_site_occupancy
H1 0.000 0.000 0.000 1
Mn1 0.000 0.000 0.500 1
Fe1 0.000 0.500 0.000 1
Fe2 0.500 0.000 0.000 1
Os1 0.500 0.500 0.500 1
```

Values from the calculation:
**Energy relative to the lowest polymorph listed for this composition**: 0.00 eV per formula unit


This record from Alexandria via LeMat-Bulk describes a geometry-optimized MnFe2HOs structure. The functional is PBE.

CIF file:
```
data_MnFe2HOs
_space_group_name_H-M_alt 'P 1'
_space_group_IT_number 1
_space_group_name_Hall 'P 1'
_cell_length_a 3.686
_cell_length_b 3.686
_cell_length_c 3.805
_cell_angle_alpha 90.00
_cell_angle_beta 90.00
_cell_angle_gamma 90.00
loop_
_atom_site_label
_atom_site_fract_x
_atom_site_fract_y
_atom_site_fract_z
_atom_site_occupancy
Fe1 0.500 0.000 0.000 1
Fe2 0.000 0.500 0.000 1
H1 0.000 0.000 0.000 1
Os1 0.000 0.000 0.500 1
Mn1 0.500 0.500 0.500 1
```

Values from the calculation:
**Energy relative to the lowest polymorph listed for this composition**: 0.01 eV per formula unit


| no. | calculated volume (Å³/cell) |
| --- | --- |
| 1 | 98.11 |
| 2 | 60.76 |
| 3 | 54.75 |
| 4 | 54.08 |
| 5 | 60.31 |
| 6 | 80.50 |
| 7 | 48.19 |
| 8 | 47.55 |
| 9 | 45.86 |
| 10 | 48.63 |
| 11 | 47.49 |
| 12 | 51.69 |